Record 1
# Cs3ScCl, relaxed, DFT PBE
# - Energy relative to the elements, uncorrected: -111 kJ/mol of formula units
# - E_tot: -2.38 eV/atom
data_Cs3ScCl
_symmetry_space_group_name_H-M 'P m -3 m'
_symmetry_Int_Tables_number 221
_symmetry_space_group_name_Hall '-P 4 2 3'
_cell_length_a 6.832
_cell_length_b 6.832
_cell_length_c 6.832
_cell_angle_alpha 90.00
_cell_angle_beta 90.00
_cell_angle_gamma 90.00
loop_
_atom_site_label
_atom_site_type_symbol
_atom_site_fract_x
_atom_site_fract_y
_atom_site_fract_z
Cs1 Cs 0.000 0.000 0.500
Sc1 Sc 0.500 0.500 0.500
Cl1 Cl 0.000 0.000 0.000


Record 2
# Mg8Hg2Pt, relaxed, DFT PBE
# - ΔE_f: -0.311 eV/atom
# - E_tot: -2.08 eV/atom
data_Mg8Hg2Pt
_symmetry_space_group_name_H-M 'C 1 2/m 1'
_symmetry_Int_Tables_number 12
_cell_length_a 15.809
_cell_length_b 4.711
_cell_length_c 6.698
_cell_angle_alpha 90.00
_cell_angle_beta 113.11
_cell_angle_gamma 90.00
loop_
_symmetry_equiv_pos_as_xyz
'x,y,z'
'-x,-y,-z'
'-x,y,-z'
'x,-y,z'
'x+1/2,y+1/2,z'
'-x+1/2,-y+1/2,-z'
'-x+1/2,y+1/2,-z'
'x+1/2,-y+1/2,z'
loop_
_atom_site_label
_atom_site_type_symbol
_atom_site_fract_x
_atom_site_fract_y
_atom_site_fract_z
Mg1 Mg 0.017 0.000 0.290
Mg2 Mg 0.102 0.500 0.923
Mg3 Mg 0.155 0.500 0.427
Mg4 Mg 0.188 0.000 0.753
Hg1 Hg 0.179 0.000 0.180
Pt1 Pt 0.000 0.500 0.500


Record 3
# Zn7Pt2Au3, relaxed, DFT PBE
# - ΔE_f: -0.198 eV/atom
# - E_tot: -2.77 eV/atom
data_Zn7Pt2Au3
_symmetry_space_group_name_H-M 'C m m m'
_symmetry_Int_Tables_number 65
_symmetry_space_group_name_Hall '-C 2 2'
_cell_length_a 4.454
_cell_length_b 19.820
_cell_length_c 4.566
_cell_angle_alpha 90.00
_cell_angle_beta 90.00
_cell_angle_gamma 90.00
loop_
_atom_site_label
_atom_site_type_symbol
_atom_site_fract_x
_atom_site_fract_y
_atom_site_fract_z
Zn1 Zn 0.000 0.000 0.000
Zn2 Zn 0.000 0.082 0.500
Zn3 Zn 0.000 0.278 0.000
Zn4 Zn 0.000 0.424 0.000
Pt1 Pt 0.000 0.145 0.000
Au1 Au 0.000 0.344 0.500
Au2 Au 0.000 0.500 0.500


Record 4
# AgAsIr2, relaxed, DFT PBE
# - ΔE_f: 0.360 eV/atom
# - E_tot: -5.95 eV/atom
data_AgAsIr2
_symmetry_space_group_name_H-M 'I m m 2'
_symmetry_Int_Tables_number 44
_cell_length_a 2.824
_cell_length_b 4.708
_cell_length_c 9.810
_cell_angle_alpha 90.00
_cell_angle_beta 90.00
_cell_angle_gamma 90.00
loop_
_symmetry_equiv_pos_as_xyz
'x,y,z'
'-x,-y,z'
'-x,y,z'
'x,-y,z'
'x+1/2,y+1/2,z+1/2'
'-x+1/2,-y+1/2,z+1/2'
'-x+1/2,y+1/2,z+1/2'
'x+1/2,-y+1/2,z+1/2'
loop_
_atom_site_label
_atom_site_type_symbol
_atom_site_fract_x
_atom_site_fract_y
_atom_site_fract_z
Ag1 Ag 0.000 0.000 0.000
As1 As 0.000 0.500 0.223
Ir1 Ir 0.000 0.000 0.507
Ir2 Ir 0.000 0.500 0.775


Record 5
# ScTlZn2, relaxed, DFT PBE
# - ΔE_f: -0.088 eV/atom
# - E_tot: -2.90 eV/atom
data_ScTlZn2
_symmetry_space_group_name_H-M 'P 1 m 1'
_symmetry_Int_Tables_number 6
_cell_length_a 3.296
_cell_length_b 4.351
_cell_length_c 5.826
_cell_angle_alpha 90.00
_cell_angle_beta 105.87
_cell_angle_gamma 90.00
loop_
_symmetry_equiv_pos_as_xyz
'x,y,z'
'x,-y,z'
loop_
_atom_site_label
_atom_site_type_symbol
_atom_site_fract_x
_atom_site_fract_y
_atom_site_fract_z
Sc1 Sc 0.000 0.000 0.000
Tl1 Tl 0.662 0.500 0.318
Zn1 Zn 0.286 0.000 0.556
Zn2 Zn 0.401 0.500 0.797


Record 6
# V2InSb, relaxed, DFT PBE
# - Energy relative to the elements, uncorrected: 235 kJ/mol of formula units
# - E_tot: -5.67 eV/atom
data_V2InSb
_symmetry_space_group_name_H-M 'I -4 2 d'
_symmetry_Int_Tables_number 122
_symmetry_space_group_name_Hall 'I -4 2bw'
_cell_length_a 7.416
_cell_length_b 7.416
_cell_length_c 5.842
_cell_angle_alpha 90.00
_cell_angle_beta 90.00
_cell_angle_gamma 90.00
loop_
_atom_site_label
_atom_site_type_symbol
_atom_site_fract_x
_atom_site_fract_y
_atom_site_fract_z
V1 V 0.237 0.250 0.125
In1 In 0.000 0.000 0.500
Sb1 Sb 0.000 0.000 0.000


Record 7
# Ca2AuClF, relaxed, DFT PBE
# - Energy relative to the elements, uncorrected: -741 kJ/mol of formula units
# - E_tot: -3.73 eV/atom
data_Ca2AuClF
_symmetry_space_group_name_H-M 'P 4/m m m'
_symmetry_Int_Tables_number 123
_symmetry_space_group_name_Hall '-P 4 2'
_cell_length_a 4.755
_cell_length_b 4.755
_cell_length_c 5.039
_cell_angle_alpha 90.00
_cell_angle_beta 90.00
_cell_angle_gamma 90.00
loop_
_atom_site_label
_atom_site_type_symbol
_atom_site_fract_x
_atom_site_fract_y
_atom_site_fract_z
Ca1 Ca 0.000 0.500 0.000
Au1 Au 0.000 0.000 0.500
Cl1 Cl 0.500 0.500 0.500
F1 F 0.500 0.500 0.000


Record 8
# K2TaWI, relaxed, DFT PBE
# - Energy relative to the elements, uncorrected: 973 kJ/mol of formula units
# - E_tot: -3.69 eV/atom
data_K2TaWI
_symmetry_space_group_name_H-M 'P 4/m m m'
_symmetry_Int_Tables_number 123
_symmetry_space_group_name_Hall '-P 4 2'
_cell_length_a 6.313
_cell_length_b 6.313
_cell_length_c 5.403
_cell_angle_alpha 90.00
_cell_angle_beta 90.00
_cell_angle_gamma 90.00
loop_
_atom_site_label
_atom_site_type_symbol
_atom_site_fract_x
_atom_site_fract_y
_atom_site_fract_z
K1 K 0.000 0.500 0.000
Ta1 Ta 0.000 0.000 0.500
W1 W 0.500 0.500 0.500
I1 I 0.000 0.000 0.000


Record 9
# TlPICl2, relaxed, DFT PBE
# - Energy relative to the elements, uncorrected: 132 kJ/mol of formula units
# - E_tot: -2.33 eV/atom
data_TlPICl2
_symmetry_space_group_name_H-M 'P 4/m m m'
_symmetry_Int_Tables_number 123
_symmetry_space_group_name_Hall '-P 4 2'
_cell_length_a 5.104
_cell_length_b 5.104
_cell_length_c 5.924
_cell_angle_alpha 90.00
_cell_angle_beta 90.00
_cell_angle_gamma 90.00
loop_
_atom_site_label
_atom_site_type_symbol
_atom_site_fract_x
_atom_site_fract_y
_atom_site_fract_z
Tl1 Tl 0.000 0.000 0.000
P1 P 0.000 0.000 0.500
I1 I 0.500 0.500 0.500
Cl1 Cl 0.000 0.500 0.000


Record 10
# SbCCl3, relaxed, DFT PBE
# - Energy relative to the elements, uncorrected: 459 kJ/mol of formula units
# - E_tot: -2.83 eV/atom
data_SbCCl3
_symmetry_space_group_name_H-M 'P m -3 m'
_symmetry_Int_Tables_number 221
_symmetry_space_group_name_Hall '-P 4 2 3'
_cell_length_a 5.281
_cell_length_b 5.281
_cell_length_c 5.281
_cell_angle_alpha 90.00
_cell_angle_beta 90.00
_cell_angle_gamma 90.00
loop_
_atom_site_label
_atom_site_type_symbol
_atom_site_fract_x
_atom_site_fract_y
_atom_site_fract_z
Sb1 Sb 0.000 0.000 0.000
C1 C 0.500 0.500 0.500
Cl1 Cl 0.000 0.000 0.500


Record 11
# CsBa3Na, relaxed, DFT PBE
# - ΔE_f: 0.228 eV/atom
# - E_tot: -1.36 eV/atom
data_CsBa3Na
_symmetry_space_group_name_H-M 'P m -3 m'
_symmetry_Int_Tables_number 221
_symmetry_space_group_name_Hall '-P 4 2 3'
_cell_length_a 7.225
_cell_length_b 7.225
_cell_length_c 7.225
_cell_angle_alpha 90.00
_cell_angle_beta 90.00
_cell_angle_gamma 90.00
loop_
_atom_site_label
_atom_site_type_symbol
_atom_site_fract_x
_atom_site_fract_y
_atom_site_fract_z
Cs1 Cs 0.000 0.000 0.000
Ba1 Ba 0.000 0.500 0.500
Na1 Na 0.500 0.500 0.500


Record 12
# InTe2P, relaxed, DFT PBE
# - Energy relative to the elements, uncorrected: 17 kJ/mol of formula units
# - E_tot: -3.56 eV/atom
data_InTe2P
_symmetry_space_group_name_H-M 'R -3 m'
_symmetry_Int_Tables_number 166
_symmetry_space_group_name_Hall '-R 3 2"'
_cell_length_a 4.2057
_cell_length_b 4.2057
_cell_length_c 21.7082
_cell_angle_alpha 90.00
_cell_angle_beta 90.00
_cell_angle_gamma 120.00
loop_
_atom_site_label
_atom_site_type_symbol
_atom_site_fract_x
_atom_site_fract_y
_atom_site_fract_z
In1 In 0.0000 0.0000 0.0000
Te1 Te 0.0000 0.0000 0.2370
P1 P 0.0000 0.0000 0.5000


Record 13
# MgTcPt2, relaxed, DFT PBE
# - ΔE_f: -0.231 eV/atom
# - E_tot: -6.24 eV/atom
data_MgTcPt2
_symmetry_space_group_name_H-M 'P 4 m m'
_symmetry_Int_Tables_number 99
_cell_length_a 2.796
_cell_length_b 2.796
_cell_length_c 8.016
_cell_angle_alpha 90.00
_cell_angle_beta 90.00
_cell_angle_gamma 90.00
loop_
_symmetry_equiv_pos_as_xyz
'x,y,z'
'-y,x,z'
'-x,-y,z'
'y,-x,z'
'-x,y,z'
'y,x,z'
'x,-y,z'
'-y,-x,z'
loop_
_atom_site_label
_atom_site_type_symbol
_atom_site_fract_x
_atom_site_fract_y
_atom_site_fract_z
Mg1 Mg 0.000 0.000 0.000
Tc1 Tc 0.500 0.500 0.731
Pt1 Pt 0.000 0.000 0.504
Pt2 Pt 0.500 0.500 0.241